This record from the Alexandria database describes a relaxed CrHgIrO6 crystal. The functional is PBE+U.

The calculation puts the total energy at -5.972 eV per atom.

It has space group P312 (No. 149), with a = 5.2157 Å, b = 5.2157 Å, c = 4.8230 Å, α = 90.00°, β = 90.00° and γ = 120.00°. The inequivalent atoms are Cr at (0.0000, 0.0000, 0.0000), Hg at (0.6667, 0.3333, 0.5000), Ir at (0.3333, 0.6667, 0.0000) and O at (0.0461, 0.3408, 0.2209).